Material: CaMn2Os
Method: DFT, PBE
State: optimized geometry

Output
For the electronic total energy, the calculation gives -7.30 eV per atom. The total magnetization comes out at 1.53 μB per atom. For the formation energy, the calculation gives 0.597 eV per atom. For the polymorph energy (0 for the lowest one), the calculation gives 0.277 eV per atom. The value obtained for the volume is 64.05 Å³ per cell.

Cell: 2.9956 4.6045 4.6440 Å, 90.00 90.00 90.00°
Fractional coordinates of all 4 atoms:
Ca  0.0000  0.0000  0.0000
Mn  0.5000  0.0000  0.5000
Mn  0.5000  0.5000  0.0000
Os  0.0000  0.5000  0.5000


Material: Zn2SbHPb
Method: DFT, PBE
State: optimized geometry

Output
For the electronic total energy, the calculation gives -2.25 eV per atom. The total magnetization comes out at 0.00 μB per atom. The value obtained for the volume is 110.85 Å³ per cell.

Cell: 5.4028 5.4028 3.7974 Å, 90.00 90.00 90.00°
Fractional coordinates of all 5 atoms:
Zn  0.0000  0.5000  0.0000
Zn  0.5000  0.0000  0.0000
Sb  0.0000  0.0000  0.5000
H  0.5000  0.5000  0.5000
Pb  0.5000  0.5000  0.0000


Material: KPd2S2
Method: DFT, PBE
State: optimized geometry

Output
For the electronic total energy, the calculation gives -4.38 eV per atom. The total magnetization comes out at 0.00 μB per atom. For the formation energy from raw total energies, the calculation gives -0.434 eV/atom. For the polymorph energy (0 for the lowest one), the calculation gives 0.054 eV per atom. The value obtained for the volume is 106.27 Å³ per cell.

Cell: 6.6570 6.6570 6.6570 Å, 142.98 142.98 53.35°
Fractional coordinates of all 5 atoms:
K  0.0000  0.0000  0.0000
Pd  0.2500  0.7500  0.5000
Pd  0.7500  0.2500  0.5000
S  0.3547  0.3547  0.0000
S  0.6453  0.6453  0.0000


Material: Ca2La4Sb3H2
Method: DFT, PBE
State: optimized geometry

Output
For the electronic total energy, the calculation gives -4.70 eV per atom. The total magnetization comes out at 0.00 μB per atom. The value obtained for the volume is 309.64 Å³ per cell.

Cell: 13.3426 13.3426 13.3426 Å, 158.83 158.83 30.12°
Fractional coordinates of all 11 atoms:
Ca  0.2003  0.2003  0.0000
Ca  0.7997  0.7997  0.0000
La  0.0839  0.5839  0.5000
La  0.4161  0.9161  0.5000
La  0.5839  0.0839  0.5000
La  0.9161  0.4161  0.5000
Sb  0.3239  0.3239  0.0000
Sb  0.5000  0.5000  0.0000
Sb  0.6761  0.6761  0.0000
H  0.1038  0.1038  0.0000
H  0.8962  0.8962  0.0000


Material: Ac3TlGa2
Method: DFT, PBE
State: optimized geometry

Output
For the electronic total energy, the calculation gives -3.87 eV per atom. The total magnetization comes out at 0.00 μB per atom. For the formation energy, the calculation gives -0.411 eV per atom. The value obtained for the volume is 191.41 Å³ per cell.

Cell: 3.9653 3.9653 12.1736 Å, 90.00 90.00 90.00°
Fractional coordinates of all 6 atoms:
Ac  0.0000  0.0000  0.0000
Ac  0.0000  0.0000  0.3166
Ac  0.0000  0.0000  0.6834
Tl  0.5000  0.5000  0.5000
Ga  0.5000  0.5000  0.1598
Ga  0.5000  0.5000  0.8402


Material: HfTi2Si
Method: DFT, PBE
State: optimized geometry

Output
For the electronic total energy, the calculation gives -8.16 eV per atom. The total magnetization comes out at 0.00 μB per atom. For the formation energy from raw total energies, the calculation gives -0.364 eV/atom. The value obtained for the volume is 67.43 Å³ per cell.

Cell: 4.0594 4.0594 4.0921 Å, 90.00 90.00 90.00°
Fractional coordinates of all 4 atoms:
Hf  0.0000  0.0000  0.0000
Ti  0.0000  0.5000  0.5000
Ti  0.5000  0.0000  0.5000
Si  0.5000  0.5000  0.0000